Compound: CrAs2
Source: Alexandria via LeMat-Bulk
Functional: PBE
Structure: optimized geometry

Volume (Å³ per atom): 18.1
Magnetization (μB per formula unit): 3.78
Uncorrected energy (eV/atom): -5.82
Energy relative to the elements (eV/atom): 0.485
SG: P6/mmm (191)

a = 4.694 Å, b = 4.694 Å, c = 2.850 Å
α = 90.00°, β = 90.00°, γ = 120.00°
Fractional coordinates of all 3 atoms:
Cr 0.000 0.000 0.000
As 0.333 0.667 0.500
As 0.667 0.333 0.500

=====

Compound: MgAl2Ir2
Source: Alexandria via LeMat-Bulk
Functional: PBE
Structure: optimized geometry

Volume (Å³ per atom): 17.6
Magnetization (μB per formula unit): 0.00
Uncorrected energy (eV/atom): -5.77
Energy relative to the elements (eV/atom): -0.410
SG: I4/mmm (139)
Relative energy among the computed polymorphs (eV/f.u.): 1.707

a = 5.733 Å, b = 5.733 Å, c = 5.733 Å
α = 136.53°, β = 136.53°, γ = 63.16°
Fractional coordinates of all 5 atoms:
Mg 0.000 0.000 0.000
Al 0.370 0.370 0.000
Al 0.630 0.630 0.000
Ir 0.250 0.750 0.500
Ir 0.750 0.250 0.500

=====

Compound: Ce5Ga6
Source: Alexandria via LeMat-Bulk
Functional: PBE
Structure: optimized geometry

Volume (Å³ per atom): 24.5
Magnetization (μB per formula unit): 4.84
Uncorrected energy (eV/atom): -4.84
Energy relative to the elements (eV/atom): -0.496
SG: Cmmm (65)

a = 15.127 Å, b = 15.127 Å, c = 4.317 Å
α = 90.00°, β = 90.00°, γ = 164.19°
Fractional coordinates of all 11 atoms:
Ce 0.000 0.000 0.000
Ce 0.195 0.805 0.500
Ce 0.382 0.618 0.000
Ce 0.618 0.382 0.000
Ce 0.805 0.195 0.500
Ga 0.089 0.911 0.500
Ga 0.276 0.724 0.000
Ga 0.459 0.541 0.500
Ga 0.541 0.459 0.500
Ga 0.724 0.276 0.000
Ga 0.911 0.089 0.500

=====

Q: Which value of magnetization does entry 3 give?
A: 4.84 μB per formula unit

=====

Repeat the third record exactly.
Compound: Ce5Ga6
Source: Alexandria via LeMat-Bulk
Functional: PBE
Structure: optimized geometry

Volume (Å³ per atom): 24.5
Magnetization (μB per formula unit): 4.84
Uncorrected energy (eV/atom): -4.84
Energy relative to the elements (eV/atom): -0.496
SG: Cmmm (65)

a = 15.127 Å, b = 15.127 Å, c = 4.317 Å
α = 90.00°, β = 90.00°, γ = 164.19°
Fractional coordinates of all 11 atoms:
Ce 0.000 0.000 0.000
Ce 0.195 0.805 0.500
Ce 0.382 0.618 0.000
Ce 0.618 0.382 0.000
Ce 0.805 0.195 0.500
Ga 0.089 0.911 0.500
Ga 0.276 0.724 0.000
Ga 0.459 0.541 0.500
Ga 0.541 0.459 0.500
Ga 0.724 0.276 0.000
Ga 0.911 0.089 0.500

=====

Q: Among the records above, which one has the lowest energy relative to the elements?
A: Ce5Ga6